First-principles (GGA-PBE) data for a relaxed PrNd3Dy8 crystal, as listed in the Alexandria database.

Its energy relative to the elements is 0.292 eV per atom. Its symmetry is Immm, No. 71.

abc: 8.7290 8.7290 8.7290
angles: 97.63 136.61 98.07
Last column: nearest neighbours and their distance in Å.
Fractional positions:
Dy 0.0015 0.2510 0.7504  6 Dy 3.22-3.42, 1 Nd 3.28, 1 Pr 3.29
Dy 0.1711 0.4214 0.2499  6 Dy 3.41-3.70, 4 Nd 3.48-3.78, 1 Pr 3.48
Dy 0.4994 0.7490 0.7505  6 Dy 3.22-3.42, 1 Nd 3.28, 1 Pr 3.29
Dy 0.8289 0.0788 0.2503  6 Dy 3.41-3.70, 4 Nd 3.48-3.78, 1 Pr 3.48
Dy 0.5006 0.2511 0.2496  6 Dy 3.22-3.42, 1 Nd 3.28, 1 Pr 3.29
Dy 0.8285 0.5786 0.7497  6 Dy 3.41-3.70, 4 Nd 3.48-3.78, 1 Pr 3.48
Dy 0.9985 0.7489 0.2495  6 Dy 3.22-3.42, 1 Nd 3.28, 1 Pr 3.29
Dy 0.1715 0.9212 0.7501  6 Dy 3.41-3.70, 4 Nd 3.48-3.78, 1 Pr 3.48
Nd 0.5000 0.2506 0.7506  6 Dy 3.76-3.78
Nd 0.5000 0.7494 0.2494  6 Dy 3.76-3.78
Nd 0.0000 0.5000 0.5000  8 Dy 3.28-3.48
Pr 0.0000 0.0000 0.0000  8 Dy 3.29-3.48